# 1
A relaxed Pr4NdSb5 crystal. Source: the Alexandria database, functional PBE-GGA.

Structure (extended XYZ):
```
10
Lattice="-2.2779 3.2155 11.3671 2.2779 -3.2155 11.3671 2.2779 3.2155 -11.3671" Properties=species:S:1:pos:R:3 pbc="T T T"
Pr 0.0000 0.0000 2.2709
Pr 0.0000 0.0000 6.8281
Pr 0.0000 0.0000 15.9061
Pr 0.0000 0.0000 20.4634
Nd 0.0000 0.0000 11.3671
Sb 2.2779 0.0000 0.0000
Sb 2.2779 0.0000 4.5486
Sb 2.2779 0.0000 9.1106
Sb 0.0000 3.2155 2.2565
Sb 0.0000 3.2155 6.8185
```

raw formation energy = -1193 meV per atom
symmetry = Immm

---

# 2
A relaxed PmTmBi2 crystal. Source: the Alexandria database, functional PBE-GGA.

Structure (extended XYZ):
```
4
Lattice="2.2388 1.2926 7.6470 -2.2388 1.2926 7.6470 0.0000 -2.5852 7.6470" Properties=species:S:1:pos:R:3 pbc="T T T"
Pm 0.0000 0.0000 0.0000
Tm 0.0000 0.0000 19.0284
Bi 0.0000 0.0000 9.5464
Bi 0.0000 0.0000 13.2993
```

formation enthalpy at 0 K = -288 kJ/mol of formula units
symmetry = R3m
offset from the most stable computed form = 112 meV/atom

---

# 3
A relaxed HoPt4Rh crystal. Source: the Alexandria database, functional PBE-GGA.

Structure (extended XYZ):
```
6
Lattice="0.0000 3.7501 3.7501 3.7501 0.0000 3.7501 3.7501 3.7501 0.0000" Properties=species:S:1:pos:R:3 pbc="T T T"
Ho 0.0000 0.0000 0.0000
Pt 4.6829 2.8174 2.8174
Pt 2.8174 4.6829 2.8174
Pt 2.8174 2.8174 4.6829
Pt 4.6829 4.6829 4.6829
Rh 1.8751 1.8751 1.8751
```

formation enthalpy at 0 K = -310 kJ/mol of formula units
symmetry = F-43m

---

What is the formula in the first record?
Pr4NdSb5